The following is a PBE calculation of an optimized crystal structure of Tc2AgCl, from the Alexandria database.

Lattice parameters (Å, degrees): 8.838 8.838 8.838 18.63 18.63 18.63
Atoms (fractional coordinates):
Tc 0.243 0.243 0.243
Tc 0.757 0.757 0.757
Ag 0.000 0.000 0.000
Cl 0.500 0.500 0.500

Calculated values
Symmetry = R-3m
V = 62 Å³/f.u.
ΔE to the lowest computed polymorph = 533 meV per atom
Magnetization = 0.00 μB per formula unit